Version 1
Entry from Alexandria: crystalline Dy4Tl2Ag at its relaxed geometry (PBE).

Geometry as extended XYZ:
```
7
Lattice="2.615 1.510 8.530 -2.615 1.510 8.530 0.000 -3.020 8.530" Properties=species:S:1:pos:R:3 pbc="T T T"
Dy 0.000 0.000 3.185
Dy 0.000 0.000 9.598
Dy 0.000 0.000 15.992
Dy 0.000 0.000 22.404
Tl 0.000 0.000 6.463
Tl 0.000 0.000 19.126
Ag 0.000 0.000 12.795
```

Computed properties:
**Volume**: 202.1 Å³/cell

Version 2
Entry from Alexandria: crystalline Dy4Tl2Ag at its relaxed geometry (PBE).

Geometry as extended XYZ:
```
14
Lattice="7.032 0.000 0.000 0.000 6.708 0.000 -3.055 0.000 8.532" Properties=species:S:1:pos:R:3 pbc="T T T"
Dy 0.449 1.677 0.440
Dy -0.984 0.058 6.201
Dy -0.984 3.296 6.201
Dy 1.206 5.031 2.987
Dy 2.770 1.677 5.545
Dy 4.961 3.412 2.331
Dy 4.961 6.650 2.331
Dy 3.528 5.031 8.092
Tl 0.119 1.677 3.731
Tl 2.911 5.031 0.299
Tl 1.066 1.677 8.233
Tl 3.858 5.031 4.801
Ag 2.612 1.677 2.427
Ag 1.365 5.031 6.105
```

Computed properties:
**Volume**: 402.5 Å³/cell

Most stable = version 1